An optimized crystal structure of Sb2Au2Cl. Source: Alexandria, functional PBE.

Unit cell a=8.156 b=8.156 c=3.528 alpha=90.00 beta=90.00 gamma=90.00
Space group P4/mbm (No. 127)
Unique sites:
1 Sb 0.184 0.316 0.000 [4 per cell]
2 Au 0.123 0.623 0.500 [4 per cell]
3 Cl 0.000 0.000 0.000 [2 per cell]

Properties
- D(E_F) (states/eV/atom) = 0.48
- formation energy from raw total energies (meV per atom) = -25
- total magnetic moment (μB per cell) = 0.00
- relative energy among the computed polymorphs (meV per atom) = 19

An optimized crystal structure of CaLaCd2. Source: Alexandria, functional PBE.

Unit cell a=10.125 b=3.705 c=6.935 alpha=90.00 beta=101.65 gamma=90.00
Space group C2/m (No. 12)
Unique sites:
1 Ca 0.000 0.000 0.000 [2 per cell]
2 La 0.000 0.500 0.500 [2 per cell]
3 Cd 0.248 0.500 0.238 [4 per cell]

Properties
- D(E_F) (states/eV/atom) = 1.09
- total magnetic moment (μB per cell) = 0.00
- energy relative to the elements (eV per atom) = -0.146
- relative energy among the computed polymorphs (meV per atom) = 234